DFT (PBE) results for BPtCl2 after structural relaxation.

abc: 7.906 7.906 7.906
angles: 22.92 22.92 22.92
Fractional positions:
B1 0.500 0.500 0.500
Pt1 0.000 0.000 0.000
Cl1 0.898 0.898 0.898
Cl2 0.102 0.102 0.102

Properties
- E_form (uncorrected) (eV per atom) = 0.885
- total DFT energy (no corrections) (eV per atom) = -3.2182
- Fermi-level density of states (states/eV/cell) = 2.7
- M_tot (μB/atom) = 0.000

=====

DFT (PBE) results for B3PtCl after structural relaxation.

abc: 4.185 4.185 4.185
angles: 90.00 90.00 90.00
Fractional positions:
B1 0.000 0.500 0.000
B2 0.000 0.000 0.500
B3 0.500 0.000 0.000
Pt1 0.000 0.000 0.000
Cl1 0.500 0.500 0.500

Properties
- E_form (uncorrected) (eV per atom) = 0.780
- total DFT energy (no corrections) (eV per atom) = -4.8038
- Fermi-level density of states (states/eV/cell) = 0.0
- M_tot (μB/atom) = 0.000

=====

DFT (PBE) results for BPt3Cl after structural relaxation.

abc: 4.266 4.266 4.266
angles: 90.00 90.00 90.00
Fractional positions:
B1 0.000 0.000 0.000
Pt1 0.000 0.500 0.000
Pt2 0.000 0.000 0.500
Pt3 0.500 0.000 0.000
Cl1 0.500 0.500 0.500

Properties
- E_form (uncorrected) (eV per atom) = 0.363
- total DFT energy (no corrections) (eV per atom) = -4.9660
- Fermi-level density of states (states/eV/cell) = 2.0
- M_tot (μB/atom) = 0.000

=====

DFT (PBE) results for B3PtCl after structural relaxation.

abc: 3.823 3.823 3.823
angles: 90.00 90.00 90.00
Fractional positions:
B1 0.000 0.500 0.000
B2 0.000 0.000 0.500
B3 0.500 0.000 0.000
Pt1 0.500 0.500 0.500
Cl1 0.000 0.000 0.000

Properties
- E_form (uncorrected) (eV per atom) = 2.116
- total DFT energy (no corrections) (eV per atom) = -3.4675
- Fermi-level density of states (states/eV/cell) = 1.5
- M_tot (μB/atom) = 0.000

=====

DFT (PBE) results for BPtCl2 after structural relaxation.

abc: 5.344 5.344 6.425
angles: 65.43 65.43 90.00
Fractional positions:
B1 0.500 0.500 0.000
B2 0.250 0.750 0.500
Pt1 0.000 0.000 0.000
Pt2 0.750 0.250 0.500
Cl1 0.551 0.125 0.250
Cl2 0.199 0.625 0.250
Cl3 0.375 0.449 0.750
Cl4 0.875 0.801 0.750

Properties
- E_form (uncorrected) (eV per atom) = 1.097
- total DFT energy (no corrections) (eV per atom) = -3.0061
- Fermi-level density of states (states/eV/cell) = 1.7
- M_tot (μB/atom) = 0.000

=====

DFT (PBE) results for B2PtCl8 after structural relaxation.

abc: 7.140 7.202 7.202
angles: 74.70 95.77 95.77
Last column: magnetic moment on the atom in μB.
Fractional positions:
B1 0.687 0.784 0.784  0.00
B2 0.313 0.216 0.216  0.00
Pt1 0.000 0.000 0.000  0.06
Cl1 0.178 0.292 0.955  0.01
Cl2 0.822 0.045 0.708  0.01
Cl3 0.443 0.804 0.804  0.00
Cl4 0.557 0.196 0.196  0.00
Cl5 0.178 0.955 0.292  0.01
Cl6 0.822 0.708 0.045  0.01
Cl7 0.742 0.637 0.637  0.00
Cl8 0.258 0.363 0.363  0.00

Properties
- E_form (uncorrected) (eV per atom) = -0.745
- total DFT energy (no corrections) (eV per atom) = -3.8509
- Fermi-level density of states (states/eV/cell) = 0.0
- M_tot (μB/atom) = 0.009

=====

DFT (PBE) results for B2PtCl4 after structural relaxation.

abc: 5.014 5.014 7.376
angles: 70.13 70.13 90.00
Fractional positions:
B1 0.560 0.560 0.880
B2 0.440 0.440 0.120
Pt1 0.000 0.000 0.000
Cl1 0.690 0.690 0.621
Cl2 0.310 0.310 0.379
Cl3 0.000 0.500 0.000
Cl4 0.500 0.000 0.000

Properties
- E_form (uncorrected) (eV per atom) = 0.122
- total DFT energy (no corrections) (eV per atom) = -3.7039
- Fermi-level density of states (states/eV/cell) = 2.1
- M_tot (μB/atom) = 0.000

=====

DFT (PBE) results for Rb2BPtCl6 after structural relaxation.

abc: 6.832 6.832 7.349
angles: 62.30 62.30 90.00
Fractional positions:
B1 0.500 0.500 0.000
Rb1 0.750 0.250 0.500
Rb2 0.250 0.750 0.500
Pt1 0.000 0.000 0.000
Cl1 0.210 0.210 0.579
Cl2 0.790 0.790 0.421
Cl3 0.290 0.290 0.000
Cl4 0.710 0.710 0.000
Cl5 0.710 0.290 0.000
Cl6 0.290 0.710 0.000

Properties
- E_form (uncorrected) (eV per atom) = -0.787
- total DFT energy (no corrections) (eV per atom) = -3.3603
- Fermi-level density of states (states/eV/cell) = 3.9
- M_tot (μB/atom) = 0.000